Material: ScTiCu
Method: DFT, PBE
State: relaxed

a b c (Å): 5.4088 5.4088 4.5499
angles (deg): 90.00 90.00 128.74
Atoms (fractional coordinates):
Sc  0.2370  0.7630  0.7500
Sc  0.7630  0.2370  0.2500
Ti  0.4577  0.5423  0.2500
Ti  0.5423  0.4577  0.7500
Cu  0.0811  0.9189  0.2500
Cu  0.9189  0.0811  0.7500

## Properties
Energy relative to the elements ... -0.003 eV/atom
Calculated density ... 5.002 g/cm3
Symmetry ... No. 63
DFT total energy ... -36.66 eV/cell
Total magnetization ... 0.000 μB per cell
Calculated volume ... 51.92 Å³/f.u.

Material: SrScP2S
Method: DFT, PBE
State: relaxed

a b c (Å): 4.9644 4.9644 5.0089
angles (deg): 90.00 90.00 90.00
Atoms (fractional coordinates):
Sr  0.0000  0.0000  0.0000
Sc  0.5000  0.5000  0.5000
P  0.0000  0.5000  0.5000
P  0.5000  0.0000  0.5000
S  0.5000  0.5000  0.0000

## Properties
Calculated density ... 3.048 g/cm3
Symmetry ... No. 123
DFT total energy ... -26.62 eV/cell
Total magnetization ... 0.000 μB per cell
Formation energy (no corrections) ... -0.732 eV/atom
Calculated volume ... 123.45 Å³/f.u.

Material: Tb2PmZn2
Method: DFT, PBE
State: relaxed

a b c (Å): 3.6430 5.2313 13.4489
angles (deg): 90.00 97.81 90.00
Atoms (fractional coordinates):
Tb  0.0464  0.2500  0.0929
Tb  0.2323  0.2500  0.4654
Tb  0.7677  0.7500  0.5346
Tb  0.9536  0.7500  0.9071
Pm  0.1441  0.7500  0.2859
Pm  0.8559  0.2500  0.7141
Zn  0.3595  0.7500  0.7195
Zn  0.4530  0.2500  0.9060
Zn  0.5470  0.7500  0.0940
Zn  0.6405  0.2500  0.2805

## Properties
Energy relative to the elements ... -0.257 eV/atom
Calculated density ... 7.764 g/cm3
Symmetry ... No. 11
DFT total energy ... -35.69 eV/cell
Total magnetization ... 0.001 μB per cell
Calculated volume ... 126.96 Å³/f.u.